4
Lattice="4.3406 0.0121 -0.0201 3.4117 2.6835 -0.0201 0.9162 0.3186 4.9058" Properties=species:S:1:pos:R:3 comment="GGA-PBE Al2OsRu, relaxed" sg="C2/m (12)" dft_energy_ev_per_atom=-7.27 m_tot_mub_per_atom=0.0000 ef_ev_per_fu=-1.101 pbc="T T T"
Ru 2.1671 0.7535 1.2164
Al 7.7516 2.6953 -0.0336
Os 6.5014 2.2606 3.6492
Al 4.3350 1.5073 2.4261

=====

8
Lattice="-1.0728 -0.4256 -3.8285 0.2071 -3.9748 0.3838 -7.9400 -0.1966 2.2468" Properties=species:S:1:pos:R:3 comment="GGA-PBE PaGePdO, relaxed" sg="P4/nmm (129)" dft_energy_ev_per_atom=-7.75 m_tot_mub_per_atom=0.0042 e_form_raw_ev_per_atom=-1.68 pbc="T T T"
O -3.9700 -0.0983 1.1234
Pa -5.7320 -0.3415 -0.4440
Pa -2.6409 -2.0554 0.9685
Pd -0.4329 -2.2002 -1.7223
Pd 0.0000 0.0000 0.0000
Ge -6.3493 -2.1472 2.0179
O -4.4029 -2.2985 -0.5989
Ge -2.0236 -0.2496 -1.4934

=====

3
Lattice="-0.6961 -2.6505 2.7719 2.4255 -2.4865 -1.7685 4.4150 5.0726 3.2186" Properties=species:S:1:pos:R:3 comment="GGA-PBE AcEuAs, relaxed" sg="I4mm (107)" dft_energy_ev_per_atom=-7.08 m_tot_mub_per_atom=2.3886 ef_ev_per_fu=-2.215 de_polymorph_ev_per_atom=0.087 pbc="T T T"
Eu 0.4447 0.2109 0.3134
As 2.6546 -1.7196 1.7629
Ac 3.0452 1.4443 2.1457

=====

6
Lattice="-1.6954 1.6103 -4.8075 4.5092 -5.6101 -0.4944 -4.1429 -3.3595 0.3358" Properties=species:S:1:pos:R:3 comment="GGA-PBE CaLaAl, relaxed" sg="Cmcm (63)" dft_energy_ev_per_atom=-3.74 m_tot_mub_per_atom=0.0000 ef_ev_per_fu=-0.559 de_polymorph_ev_per_atom=0.094 pbc="T T T"
Al -2.7931 -0.3578 -3.0871
La 1.6532 -5.5780 -0.4574
Al -4.0111 -2.8503 -0.5206
Ca -1.4169 -6.2547 -2.5736
La -3.9481 -3.2402 -3.6446
Ca -0.8781 -2.5636 -1.5285

=====

4
Lattice="7.2651 -0.0146 0.0030 -3.9847 6.0749 0.0030 0.7634 1.4103 3.3691" Properties=species:S:1:pos:R:3 comment="GGA-PBE SrLiLa2, relaxed" sg="C2/m (12)" dft_energy_ev_per_atom=-3.18 m_tot_mub_per_atom=0.0005 ef_ev_per_fu=0.719 de_polymorph_ev_per_atom=0.106 pbc="T T T"
Sr -1.6107 3.7426 1.6860
La 0.0000 0.0000 0.0000
La 1.6402 3.0301 0.0030
Li 4.0142 0.6979 1.6860

=====

5
Lattice="-1.9039 4.6146 1.1216 -3.6440 -1.8572 1.4553 2.0268 -0.3032 4.6880" Properties=species:S:1:pos:R:3 comment="GGA-PBE Hf2TaVFe, relaxed" sg="P4/mmm (123)" dft_energy_ev_per_atom=-8.50 m_tot_mub_per_atom=0.7341 ef_ev_per_fu=6.856 de_polymorph_ev_per_atom=0.774 pbc="T T T"
Hf -0.9520 2.3073 0.5608
Ta 0.0000 0.0000 0.0000
Hf 1.0134 -0.1516 2.3440
Fe -1.8220 -0.9286 0.7277
V -1.7606 1.2271 3.6325

=====

6
Lattice="0.0000 4.4695 4.4695 4.4695 0.0000 4.4695 4.4695 4.4695 0.0000" Properties=species:S:1:pos:R:3 comment="GGA-PBE KPtBr4, relaxed" sg="F-43m (216)" dft_energy_ev_per_atom=-1.83 m_tot_mub_per_atom=0.0395 e_form_raw_ev_per_atom=0.48 de_polymorph_ev_per_atom=1.155 pbc="T T T"
Br 3.3455 5.5935 5.5935
Br 3.3455 3.3455 3.3455
Pt 0.0000 0.0000 0.0000
Br 5.5935 3.3455 5.5935
Br 5.5935 5.5935 3.3455
K 6.7042 6.7042 6.7042

=====

5
Lattice="-3.1409 2.5205 -1.7558 -1.4034 -3.5063 -2.5228 -2.7555 -1.2021 3.2036" Properties=species:S:1:pos:R:3 comment="GGA-PBE NaTcNi2Ag, relaxed" sg="P4/mmm (123)" dft_energy_ev_per_atom=-3.52 m_tot_mub_per_atom=0.9248 ef_ev_per_fu=8.505 pbc="T T T"
Na 0.0000 0.0000 0.0000
Tc -3.6500 -1.0939 -0.5375
Ni -1.5705 1.2603 -0.8779
Ag -0.7017 -1.7531 -1.2614
Ni -1.3778 -0.6011 1.6018

=====

5
Lattice="3.7225 0.0000 0.0000 0.0000 3.7225 0.0000 0.0000 0.0000 3.7225" Properties=species:S:1:pos:R:3 comment="GGA-PBE HfBe3B, relaxed" sg="Pm-3m (221)" dft_energy_ev_per_atom=-5.38 m_tot_mub_per_atom=0.0000 ef_ev_per_fu=0.893 de_polymorph_ev_per_atom=0.000 pbc="T T T"
B 0.0000 0.0000 0.0000
Hf 1.8612 1.8612 1.8612
Be 0.0000 0.0000 1.8612
Be 1.8612 0.0000 0.0000
Be 0.0000 1.8612 0.0000

=====

5
Lattice="0.2325 -1.6452 3.4525 3.3161 -1.5029 1.1921 8.4211 4.5890 11.7231" Properties=species:S:1:pos:R:3 comment="GGA-PBE TeS2N2, relaxed" sg="P-1 (2)" dft_energy_ev_per_atom=-5.55 m_tot_mub_per_atom=0.0000 e_form_raw_ev_per_atom=0.06 de_polymorph_ev_per_atom=0.000 pbc="T T T"
Te 0.0000 0.0000 0.0000
S 2.7583 -0.7425 3.7171
S 9.2114 2.1834 12.6506
N 6.0501 0.1711 8.2471
N 5.9197 1.2698 8.1207

=====

4
Lattice="5.8461 -0.0009 -0.0168 2.6915 5.1890 0.0151 -4.2606 -2.6084 3.0370" Properties=species:S:1:pos:R:3 comment="GGA-PBE Zr2HgPb, relaxed" sg="I-4m2 (119)" dft_energy_ev_per_atom=-5.41 m_tot_mub_per_atom=0.0000 ef_ev_per_fu=-0.536 de_polymorph_ev_per_atom=0.041 pbc="T T T"
Hg 4.2682 2.5946 -0.0003
Zr 2.9263 -0.0083 1.5095
Pb 1.3506 2.5872 1.5253
Zr 8.5371 5.1878 -0.0015

=====

4
Lattice="0.0000 3.1426 3.1426 3.1426 0.0000 3.1426 3.1426 3.1426 0.0000" Properties=species:S:1:pos:R:3 comment="GGA-PBE YNi2Os, relaxed" sg="Fm-3m (225)" dft_energy_ev_per_atom=-7.18 m_tot_mub_per_atom=0.4912 ef_ev_per_fu=0.527 de_polymorph_ev_per_atom=0.280 pbc="T T T"
Ni 1.5713 1.5713 1.5713
Ni 4.7139 4.7139 4.7139
Y 0.0000 0.0000 0.0000
Os 3.1426 3.1426 3.1426